LiPtO4 (PBE-GGA, relaxed); final energy = -4.9978 eV/atom; formation energy without anion corrections = -367 meV per atom; total magnetic moment = 0.0 μB per formula unit
1.0
3.387 0.000 0.000
0.000 3.387 0.000
0.000 0.000 5.185
Li Pt O
1 1 4
direct
0.000 0.000 0.000
0.500 0.500 0.500
0.000 0.500 0.270
0.000 0.500 0.730
0.500 0.000 0.270
0.500 0.000 0.730